The following is a PBE-GGA calculation of a relaxed structure of Tb3Co2Ag, from Alexandria.

Cell lengths 3.369, 3.369, 10.943 Å; angles 90.00, 90.00, 90.00 degrees
Space group P4/mmm (No. 123)
Unique sites:
Tb1 0.000 0.000 0.000
Tb2 0.000 0.000 0.305
Co1 0.500 0.500 0.159
Ag1 0.500 0.500 0.500

Calculated values
Magnetization: 0.13 μB/atom
Calculated density: 9.39 g/cm³
Electronic total energy: -5.358 eV/atom
Density of states at the Fermi level: 0.4820 states/eV per atom

***

The following is a PBE-GGA calculation of a relaxed structure of LaCdSi, from Alexandria.

Cell lengths 4.395, 17.222, 3.978 Å; angles 90.00, 90.00, 90.00 degrees
Space group Cmcm (No. 63)
Unique sites:
La1 0.000 0.096 0.250
Cd1 0.000 0.289 0.250
Si1 0.000 0.460 0.250

Calculated values
Formation energy (no corrections): -0.522 eV per atom
Magnetization: 0.00 μB/atom
Calculated density: 6.16 g/cm³
Electronic total energy: -4.277 eV/atom
Density of states at the Fermi level: 0.6080 states/eV per atom

***

The following is a PBE-GGA calculation of a relaxed structure of LiHoSi2, from Alexandria.

Cell lengths 4.118, 4.118, 4.141 Å; angles 90.00, 90.00, 90.00 degrees
Space group P4/mmm (No. 123)
Unique sites:
Li1 0.000 0.000 0.000
Ho1 0.500 0.500 0.000
Si1 0.000 0.500 0.500

Calculated values
Formation energy (no corrections): -0.398 eV per atom
Magnetization: 0.00 μB/atom
Calculated density: 5.39 g/cm³
Electronic total energy: -4.732 eV/atom
Density of states at the Fermi level: 0.2381 states/eV per atom

***

The following is a PBE-GGA calculation of a relaxed structure of As2RuPtSe, from Alexandria.

Cell lengths 4.606, 4.606, 5.090 Å; angles 90.00, 90.00, 90.00 degrees
Space group P4/mmm (No. 123)
Unique sites:
As1 0.000 0.500 0.000
Ru1 0.000 0.000 0.000
Pt1 0.500 0.500 0.500
Se1 0.000 0.000 0.500

Calculated values
Formation energy (no corrections): 0.731 eV per atom
Magnetization: 0.00 μB/atom
Calculated density: 8.07 g/cm³
Electronic total energy: -4.889 eV/atom
Density of states at the Fermi level: 0.9264 states/eV per atom

***

The following is a PBE-GGA calculation of a relaxed structure of Ta5Nb6Re, from Alexandria.

Cell lengths 4.667, 6.595, 13.941 Å; angles 90.00, 90.00, 90.00 degrees
Space group Immm (No. 71)
Unique sites:
Ta1 0.000 0.000 0.000
Ta2 0.000 0.000 0.331
Ta3 0.000 0.500 0.335
Nb1 0.000 0.243 0.500
Nb2 0.000 0.254 0.163
Re1 0.000 0.500 0.000

Calculated values
Magnetization: 0.00 μB/atom
Calculated density: 12.76 g/cm³
Electronic total energy: -11.081 eV/atom
Density of states at the Fermi level: 1.2974 states/eV per atom

***

The following is a PBE-GGA calculation of a relaxed structure of PuHfTi4, from Alexandria.

Cell lengths 8.616, 10.837, 4.611 Å; angles 90.00, 90.00, 90.00 degrees
Space group Cmcm (No. 63)
Unique sites:
Pu1 0.000 0.007 0.250
Hf1 0.000 0.303 0.750
Ti1 0.172 0.433 0.250
Ti2 0.173 0.182 0.250

Calculated values
Magnetization: 0.08 μB/atom
Calculated density: 9.47 g/cm³
Electronic total energy: -9.241 eV/atom
Density of states at the Fermi level: 1.3123 states/eV per atom

***

- Which value of magnetization does entry 2 give?
  0.00 μB/atom

***

Repeat the second record exactly.
The following is a PBE-GGA calculation of a relaxed structure of LaCdSi, from Alexandria.

Cell lengths 4.395, 17.222, 3.978 Å; angles 90.00, 90.00, 90.00 degrees
Space group Cmcm (No. 63)
Unique sites:
La1 0.000 0.096 0.250
Cd1 0.000 0.289 0.250
Si1 0.000 0.460 0.250

Calculated values
Formation energy (no corrections): -0.522 eV per atom
Magnetization: 0.00 μB/atom
Calculated density: 6.16 g/cm³
Electronic total energy: -4.277 eV/atom
Density of states at the Fermi level: 0.6080 states/eV per atom

***

- Which of these has the lowest calculated density?
  LiHoSi2